Here is KLiNi after structural relaxation from the Alexandria database. Energies are from PBE-GGA.

Computed properties:
**Energy above the most stable polymorph in this dataset**: 162.6 meV/atom
**Symmetry**: P3m1
**Total magnetic moment**: 0.0 μB/cell

a b c (Å): 5.0555 5.0555 2.9391
angles (deg): 90.00 90.00 120.00
Atoms (fractional coordinates):
1 K 0.0000 0.0000 0.0097
2 Li 0.6667 0.3333 0.4293
3 Ni 0.3333 0.6667 0.5610

Here is KLi2Ni after structural relaxation from the Alexandria database. Energies are from PBE-GGA.

Computed properties:
**Energy above the most stable polymorph in this dataset**: 11.3 meV/atom
**Symmetry**: Imm2
**Total magnetic moment**: 0.0 μB/cell

a b c (Å): 8.3118 8.3118 8.3118
angles (deg): 159.34 150.60 36.21
Atoms (fractional coordinates):
1 K 0.6695 0.1695 0.5000
2 Li 0.9816 0.9816 0.0000
3 Li 0.3609 0.8609 0.5000
4 Ni 0.4879 0.4879 0.0000

Here is KLiNi4 after structural relaxation from the Alexandria database. Energies are from PBE-GGA.

Computed properties:
**Symmetry**: F-43m
**Calculated total energy**: -23.94 eV/cell
**Total magnetic moment**: 0.0 μB/cell

a b c (Å): 4.9907 4.9907 4.9907
angles (deg): 60.00 60.00 60.00
Atoms (fractional coordinates):
1 K 0.7500 0.7500 0.7500
2 Li 0.0000 0.0000 0.0000
3 Ni 0.8783 0.3739 0.3739
4 Ni 0.3739 0.3739 0.8783
5 Ni 0.3739 0.8783 0.3739
6 Ni 0.3739 0.3739 0.3739

Here is K2Li2Ni after structural relaxation from the Alexandria database. Energies are from PBE-GGA.

Computed properties:
**Energy above the most stable polymorph in this dataset**: 482.3 meV/atom
**Symmetry**: I4/mmm
**Total magnetic moment**: 0.0 μB/cell

a b c (Å): 4.7823 4.7823 8.0745
angles (deg): 72.77 72.77 90.00
Atoms (fractional coordinates):
1 Ni 0.0000 0.0000 0.0000
2 K 0.7500 0.2500 0.5000
3 K 0.2500 0.7500 0.5000
4 Li 0.4207 0.4207 0.1587
5 Li 0.5793 0.5793 0.8413

Here is K2Li2Ni after structural relaxation from the Alexandria database. Energies are from PBE-GGA.

Computed properties:
**Energy above the most stable polymorph in this dataset**: 0.0 meV/atom
**Symmetry**: P4/mbm
**Total magnetic moment**: 0.0 μB/cell

a b c (Å): 7.0452 7.0452 5.8500
angles (deg): 90.00 90.00 90.00
Atoms (fractional coordinates):
1 Ni 0.0000 0.0000 0.0000
2 Ni 0.5000 0.5000 0.0000
3 K 0.1924 0.6924 0.5000
4 K 0.6924 0.8076 0.5000
5 K 0.8076 0.3076 0.5000
6 K 0.3076 0.1924 0.5000
7 Li 0.3352 0.8352 0.0000
8 Li 0.8352 0.6648 0.0000
9 Li 0.6648 0.1648 0.0000
10 Li 0.1648 0.3352 0.0000

Here is KLi2Ni after structural relaxation from the Alexandria database. Energies are from PBE-GGA.

Computed properties:
**Energy above the most stable polymorph in this dataset**: 144.6 meV/atom
**Symmetry**: Fm-3m
**Total magnetic moment**: 0.0 μB/cell

a b c (Å): 4.9253 4.9253 4.9253
angles (deg): 60.00 60.00 60.00
Atoms (fractional coordinates):
1 Ni 0.5000 0.5000 0.5000
2 K 0.0000 0.0000 0.0000
3 Li 0.2500 0.2500 0.2500
4 Li 0.7500 0.7500 0.7500

Here is KLi2Ni after structural relaxation from the Alexandria database. Energies are from PBE-GGA.

Computed properties:
**Energy above the most stable polymorph in this dataset**: 5.0 meV/atom
**Symmetry**: Pmmm
**Total magnetic moment**: 0.0 μB/cell

a b c (Å): 3.3182 3.3017 8.8024
angles (deg): 67.97 90.00 90.00
Atoms (fractional coordinates):
1 K 0.5000 0.7500 0.7500
2 Li 0.0000 0.8987 0.1010
3 Li 0.0000 0.6013 0.3990
4 Ni 0.5000 0.2500 0.2500

Here is KLi2Ni after structural relaxation from the Alexandria database. Energies are from PBE-GGA.

Computed properties:
**Energy above the most stable polymorph in this dataset**: 17.5 meV/atom
**Symmetry**: Cm
**Total magnetic moment**: 0.0 μB/cell

a b c (Å): 4.6226 4.6226 7.4171
angles (deg): 86.23 86.23 36.69
Atoms (fractional coordinates):
1 K 0.7595 0.7595 0.7088
2 Li 0.9903 0.9903 0.1127
3 Li 0.2417 0.2417 0.2889
4 Ni 0.5085 0.5085 0.3896

Q: What is the formula in the eighth record?
A: KLi2Ni

Q: What is the formula in the fifth record?
A: K2Li2Ni